(1)
The following is a DFT calculation (PBEsol) of Sb2TeIrI after structural relaxation. Values from VASP.

Quantum ESPRESSO input file:
```
&SYSTEM
  ibrav = 0, nat = 5, ntyp = 4
/
ATOMIC_SPECIES
I 126.90 I.upf
Sb 121.76 Sb.upf
Ir 192.22 Ir.upf
Te 127.60 Te.upf
ATOMIC_POSITIONS angstrom
I 2.784 0.000 0.000
Sb 0.000 0.000 2.789
Sb 0.000 2.789 0.000
Ir 2.784 2.789 2.789
Te 0.000 0.000 0.000
CELL_PARAMETERS angstrom
5.567 0.000 0.000
0.000 5.577 0.000
0.000 0.000 5.577
```

Density: 6.62 g cm⁻³
DOS at the Fermi energy: 8.0 states/eV per cell
Raw formation energy: 1.84 eV per atom
Energy above the lowest structure with this stoichiometry: 692 kJ/mol of formula units
Crystal system: tetragonal

(2)
The following is a DFT calculation (PBEsol) of LiTaWO6 after structural relaxation. Values from VASP.

Quantum ESPRESSO input file:
```
&SYSTEM
  ibrav = 0, nat = 36, ntyp = 4
/
ATOMIC_SPECIES
Li 6.94 Li.upf
Ta 180.95 Ta.upf
W 183.84 W.upf
O 16.00 O.upf
ATOMIC_POSITIONS angstrom
Li -2.942 2.030 1.337
Li -6.473 1.240 4.149
Li -6.912 -3.288 4.695
Li -2.997 -4.930 6.418
Ta -6.576 -0.379 0.354
Ta -3.893 -1.880 2.258
Ta -3.279 -0.880 5.678
Ta -5.577 -1.810 8.309
W -4.493 -2.978 -1.216
W -0.869 0.068 3.046
W -1.110 -3.422 4.131
W -2.613 0.211 9.142
O -5.058 -3.598 8.775
O -8.845 -3.165 9.328
O -7.408 -5.114 8.207
O -6.755 -1.619 9.934
O -4.012 -1.065 9.271
O -2.392 -0.592 2.126
O -5.127 -0.566 1.599
O -3.524 -2.607 0.415
O -5.769 -3.935 -0.153
O -7.416 -2.124 0.912
O -7.639 0.637 1.684
O -4.394 0.738 5.944
O -4.219 -1.307 4.060
O -0.433 -1.741 3.507
O -2.529 -3.249 2.831
O -1.864 0.171 4.699
O -5.367 -3.201 2.370
O -7.169 -2.522 7.368
O -2.252 -0.312 7.317
O -3.893 1.461 8.452
O -4.535 -1.908 6.701
O -6.132 0.095 7.956
O -2.125 -2.471 5.422
O -4.783 -6.283 8.085
CELL_PARAMETERS angstrom
-4.252 5.142 3.117
-5.987 -3.969 -1.620
0.769 -4.862 9.071
```

Density: 5.55 g cm⁻³
DOS at the Fermi energy: 0.0 states/eV per cell
Raw formation energy: -2.39 eV per atom
Energy above the lowest structure with this stoichiometry: 0 kJ/mol of formula units
Crystal system: tetragonal

(3)
The following is a DFT calculation (PBEsol) of BaZr2CrPd after structural relaxation. Values from VASP.

Quantum ESPRESSO input file:
```
&SYSTEM
  ibrav = 0, nat = 5, ntyp = 4
/
ATOMIC_SPECIES
Zr 91.22 Zr.upf
Ba 137.33 Ba.upf
Pd 106.42 Pd.upf
Cr 52.00 Cr.upf
ATOMIC_POSITIONS angstrom
Zr 0.000 2.355 0.000
Zr 2.355 0.000 0.000
Ba 0.000 0.000 2.755
Pd 2.355 2.355 2.755
Cr 0.000 0.000 0.000
CELL_PARAMETERS angstrom
4.710 0.000 0.000
0.000 4.710 0.000
0.000 0.000 5.510
```

Density: 6.50 g cm⁻³
Total DFT energy (no corrections): -32.61 eV for the cell shown
DOS at the Fermi energy: 6.0 states/eV per cell
Crystal system: tetragonal

(4)
The following is a DFT calculation (PBEsol) of CdFe2Au after structural relaxation. Values from VASP.

Quantum ESPRESSO input file:
```
&SYSTEM
  ibrav = 0, nat = 4, ntyp = 3
/
ATOMIC_SPECIES
Au 196.97 Au.upf
Cd 112.41 Cd.upf
Fe 55.84 Fe.upf
ATOMIC_POSITIONS angstrom
Au 0.000 0.000 3.102
Cd 1.489 1.489 5.108
Fe 0.000 0.000 0.294
Fe 1.489 1.489 1.414
CELL_PARAMETERS angstrom
2.977 0.000 0.000
0.000 2.977 0.000
0.000 0.000 6.613
```

Density: 11.93 g cm⁻³
Total DFT energy (no corrections): -22.51 eV for the cell shown
DOS at the Fermi energy: 2.8 states/eV per cell
Crystal system: tetragonal

(5)
The following is a DFT calculation (PBEsol) of ZrCo3N after structural relaxation. Values from VASP.

Quantum ESPRESSO input file:
```
&SYSTEM
  ibrav = 0, nat = 5, ntyp = 3
/
ATOMIC_SPECIES
Co 58.93 Co.upf
Zr 91.22 Zr.upf
N 14.01 N.upf
ATOMIC_POSITIONS angstrom
Co -0.581 -1.815 -0.003
Co -0.025 0.005 1.905
Co -1.814 0.580 -0.026
Zr -2.420 -1.229 1.877
N 0.000 0.000 0.000
CELL_PARAMETERS angstrom
-3.629 1.161 -0.051
-1.161 -3.629 -0.006
-0.050 0.010 3.810
```

Density: 8.47 g cm⁻³
DOS at the Fermi energy: 3.6 states/eV per cell
Raw formation energy: -0.31 eV per atom
Crystal system: cubic

(6)
The following is a DFT calculation (PBEsol) of ErSi2Ru2 after structural relaxation. Values from VASP.

Quantum ESPRESSO input file:
```
&SYSTEM
  ibrav = 0, nat = 5, ntyp = 3
/
ATOMIC_SPECIES
Ru 101.07 Ru.upf
Si 28.09 Si.upf
Er 167.26 Er.upf
ATOMIC_POSITIONS angstrom
Ru -0.991 -0.376 2.946
Ru 1.190 -2.073 2.022
Si 1.321 -0.060 3.230
Si -1.123 -2.389 1.739
Er 0.000 0.000 0.000
CELL_PARAMETERS angstrom
-3.768 -0.670 1.529
0.594 -4.065 -0.318
3.372 2.287 3.758
```

Density: 8.83 g cm⁻³
DOS at the Fermi energy: 2.9 states/eV per cell
Raw formation energy: -0.92 eV per atom
Crystal system: tetragonal

(7)
The following is a DFT calculation (PBEsol) of YTl2Si after structural relaxation. Values from VASP.

Quantum ESPRESSO input file:
```
&SYSTEM
  ibrav = 0, nat = 4, ntyp = 3
/
ATOMIC_SPECIES
Si 28.09 Si.upf
Tl 204.38 Tl.upf
Y 88.91 Y.upf
ATOMIC_POSITIONS angstrom
Si 0.000 0.000 0.000
Tl 2.573 1.486 1.051
Tl 7.720 4.457 3.152
Y 5.146 2.971 2.101
CELL_PARAMETERS angstrom
5.146 0.000 0.000
2.573 4.457 0.000
2.573 1.486 4.202
```

Density: 9.06 g cm⁻³
DOS at the Fermi energy: 2.6 states/eV per cell
Raw formation energy: 0.09 eV per atom
Energy above the lowest structure with this stoichiometry: 103 kJ/mol of formula units
Crystal system: cubic

(8)
The following is a DFT calculation (PBEsol) of AlCdIr2 after structural relaxation. Values from VASP.

Quantum ESPRESSO input file:
```
&SYSTEM
  ibrav = 0, nat = 4, ntyp = 3
/
ATOMIC_SPECIES
Ir 192.22 Ir.upf
Al 26.98 Al.upf
Cd 112.41 Cd.upf
ATOMIC_POSITIONS angstrom
Ir 0.000 0.000 5.139
Ir 0.000 0.000 1.443
Al 1.501 1.501 0.000
Cd 1.501 1.501 3.291
CELL_PARAMETERS angstrom
3.002 0.000 0.000
0.000 3.002 0.000
0.000 0.000 6.582
```

Density: 14.66 g cm⁻³
Total DFT energy (no corrections): -26.38 eV for the cell shown
DOS at the Fermi energy: 1.5 states/eV per cell
Crystal system: tetragonal

(9)
The following is a DFT calculation (PBEsol) of LiIn2Pt after structural relaxation. Values from VASP.

Quantum ESPRESSO input file:
```
&SYSTEM
  ibrav = 0, nat = 4, ntyp = 3
/
ATOMIC_SPECIES
In 114.82 In.upf
Pt 195.08 Pt.upf
Li 6.94 Li.upf
ATOMIC_POSITIONS angstrom
In 2.301 1.329 0.940
In 6.904 3.986 2.819
Pt 4.603 2.657 1.879
Li 0.000 0.000 0.000
CELL_PARAMETERS angstrom
4.603 0.000 0.000
2.301 3.986 0.000
2.301 1.329 3.758
```

Density: 10.40 g cm⁻³
Total DFT energy (no corrections): -17.02 eV for the cell shown
DOS at the Fermi energy: 1.1 states/eV per cell
Crystal system: cubic

(10)
The following is a DFT calculation (PBEsol) of PH3PbCO3 after structural relaxation. Values from VASP.

Quantum ESPRESSO input file:
```
&SYSTEM
  ibrav = 0, nat = 54, ntyp = 5
/
ATOMIC_SPECIES
C 12.01 C.upf
H 1.01 H.upf
O 16.00 O.upf
P 30.97 P.upf
Pb 207.20 Pb.upf
ATOMIC_POSITIONS angstrom
C 0.664 3.650 7.273
C 5.257 -1.315 3.229
C 2.960 -2.335 9.550
C 1.632 2.139 2.753
C -2.960 7.104 6.797
C -0.664 8.124 0.476
H -0.172 4.323 7.517
H 4.421 -1.440 2.524
H 2.125 -2.883 10.012
H 2.468 1.465 2.509
H -2.125 7.229 7.503
H 0.172 8.672 0.014
H 1.285 4.125 6.494
H 3.582 9.351 3.207
H 5.878 3.891 0.325
H 1.011 1.664 3.532
H -1.285 -3.562 6.819
H -3.582 1.898 9.702
H 1.264 3.463 8.178
H 5.857 -0.438 2.938
H 3.560 -3.025 8.936
H 1.032 2.326 1.848
H -3.560 6.226 7.088
H -1.264 8.814 1.090
O 1.224 1.242 6.191
O -1.073 -1.048 5.855
O 3.520 -0.194 8.006
O 1.073 4.547 3.835
O 3.369 6.837 4.171
O -1.224 5.983 2.020
O -0.830 1.450 7.749
O 3.762 0.197 4.896
O 1.466 -1.647 7.408
O 3.127 4.339 2.277
O -1.466 5.592 5.131
O 0.830 7.436 2.619
O -0.938 2.422 5.455
O 3.654 -2.276 5.202
O 1.358 -0.146 9.396
O 3.235 3.367 4.572
O -1.358 8.064 4.825
O 0.938 5.935 0.630
P 0.020 2.098 6.619
P 4.613 -1.105 4.900
P 2.317 -0.993 8.534
P 2.276 3.691 3.407
P -2.317 6.894 5.127
P -0.020 6.781 1.493
Pb 3.640 1.857 6.436
Pb 1.344 -1.144 5.200
Pb -0.952 -0.713 8.417
Pb -1.344 3.931 3.591
Pb 0.952 6.933 4.826
Pb 3.249 6.502 1.609
CELL_PARAMETERS angstrom
6.889 0.000 0.000
-2.296 11.578 0.000
-2.296 -5.789 10.026
```

Density: 3.75 g cm⁻³
Total DFT energy (no corrections): -330.79 eV for the cell shown
DOS at the Fermi energy: 0.0 states/eV per cell
Crystal system: trigonal

(11)
The following is a DFT calculation (PBEsol) of Cd2IBr after structural relaxation. Values from VASP.

Quantum ESPRESSO input file:
```
&SYSTEM
  ibrav = 0, nat = 4, ntyp = 3
/
ATOMIC_SPECIES
I 126.90 I.upf
Br 79.90 Br.upf
Cd 112.41 Cd.upf
ATOMIC_POSITIONS angstrom
I 5.290 3.054 2.159
Br 0.000 0.000 0.000
Cd 2.645 1.527 1.080
Cd 7.934 4.581 3.239
CELL_PARAMETERS angstrom
5.290 0.000 0.000
2.645 4.581 0.000
2.645 1.527 4.319
```

Density: 6.85 g cm⁻³
DOS at the Fermi energy: 1.6 states/eV per cell
Raw formation energy: -0.13 eV per atom
Crystal system: cubic

(12)
The following is a DFT calculation (PBEsol) of Zn2SiSnH after structural relaxation. Values from VASP.

Quantum ESPRESSO input file:
```
&SYSTEM
  ibrav = 0, nat = 5, ntyp = 4
/
ATOMIC_SPECIES
H 1.01 H.upf
Zn 65.41 Zn.upf
Si 28.09 Si.upf
Sn 118.71 Sn.upf
ATOMIC_POSITIONS angstrom
H 0.000 0.000 0.000
Zn 0.791 -1.255 -1.336
Zn -1.118 0.823 -1.435
Si -2.059 -2.003 -2.321
Sn -1.732 -1.570 0.449
CELL_PARAMETERS angstrom
-2.235 1.645 -2.871
1.582 -2.511 -2.671
-3.465 -3.139 0.899
```

Density: 6.10 g cm⁻³
Total DFT energy (no corrections): -14.34 eV for the cell shown
DOS at the Fermi energy: 1.6 states/eV per cell
Crystal system: tetragonal